Below is a relaxed Al2CrNi crystal, with properties calculated at the GGA-PBE level.

## Properties
calculated total energy	-23.004	eV per formula unit
space-group type	R3m (160)
energy of formation	-0.0285	eV/atom
spin magnetization	0.000	μB/f.u.

Unit cell a=8.4769 b=8.4769 c=8.4769 alpha=18.37 beta=18.37 gamma=18.37
Closest atoms and distances in Å follow each position.
Fractional positions:
Ni (0.7516, 0.7516, 0.7516)  3 Cr 2.49, 3 Al 2.50, 6 Ni 2.71
Al (0.0068, 0.0068, 0.0068)  3 Ni 2.50, 6 Al 2.71
Al (0.2460, 0.2460, 0.2460)  3 Cr 2.61, 9 Al 2.71-2.82
Cr (0.4956, 0.4956, 0.4956)  3 Ni 2.49, 3 Al 2.61, 6 Cr 2.71

=====

Below is a relaxed AlCr2Ni crystal, with properties calculated at the GGA-PBE level.

## Properties
calculated total energy	-29.131	eV per formula unit
space-group type	Imm2 (44)
energy of formation	-0.0901	eV/atom
spin magnetization	0.144	μB/f.u.

Unit cell a=4.6725 b=4.6725 c=4.6725 alpha=141.54 beta=127.59 gamma=66.86
Closest atoms and distances in Å follow each position.
Fractional positions:
Ni (0.5019, 0.5019, 0.0000)  2 Al 2.47, 6 Cr 2.54-2.58
Al (0.2534, 0.7534, 0.5000)  2 Ni 2.47, 8 Cr 2.57-2.74
Cr (0.9838, 0.9838, 0.0000)  2 Cr 2.32, 4 Ni 2.58
Cr (0.7609, 0.2609, 0.5000)  2 Cr 2.32, 2 Ni 2.54, 4 Al 2.57

=====

Below is a relaxed AlCrNi3 crystal, with properties calculated at the GGA-PBE level.

## Properties
calculated total energy	-25.229	eV per formula unit
space-group type	Pm-3m (221)
energy of formation	1.0962	eV/atom
spin magnetization	0.053	μB/f.u.

Unit cell a=4.1947 b=4.1947 c=4.1947 alpha=90.00 beta=90.00 gamma=90.00
Closest atoms and distances in Å follow each position.
Fractional positions:
Ni (0.0000, 0.5000, 0.0000)  2 Al 2.10
Ni (0.0000, 0.0000, 0.5000)  2 Al 2.10
Ni (0.5000, 0.0000, 0.0000)  2 Al 2.10
Al (0.0000, 0.0000, 0.0000)  6 Ni 2.10
Cr (0.5000, 0.5000, 0.5000)  12 Ni 2.97

=====

Below is a relaxed Al2CrNi crystal, with properties calculated at the GGA-PBE level.

## Properties
calculated total energy	-23.532	eV per formula unit
space-group type	R-3m (166)
energy of formation	-0.1605	eV/atom
spin magnetization	0.000	μB/f.u.

Unit cell a=8.3614 b=8.3614 c=8.3614 alpha=18.55 beta=18.55 gamma=18.55
Closest atoms and distances in Å follow each position.
Fractional positions:
Ni (0.7500, 0.7500, 0.7500)  6 Al 2.52, 6 Ni 2.70
Al (0.0030, 0.0030, 0.0030)  3 Ni 2.52, 3 Cr 2.64, 6 Al 2.70
Al (0.4970, 0.4970, 0.4970)  3 Ni 2.52, 3 Cr 2.64, 6 Al 2.70
Cr (0.2500, 0.2500, 0.2500)  6 Al 2.64, 6 Cr 2.70